No. 1
This record from Alexandria via LeMat-Bulk describes a relaxed structure of TiGaP2O. The functional is GGA-PBEsol.

Properties
Space group: P4/mmm
Energy relative to the elements, uncorrected: 11 kJ/mol of atoms
DOS(E_F): 4.32 states/eV per cell
Uncorrected energy: -5.581 eV/atom

a b c (Å): 3.5527 4.7306 4.7306
angles (deg): 90.00 90.00 90.00
Last column: nearest neighbours and their distance in Å.
Positions (direct):
P 0.0000 0.0000 0.5000  2 Ga 2.37
P 0.0000 0.5000 0.0000  2 Ga 2.37
O 0.5000 0.0000 0.0000  2 Ga 1.78
Ga 0.0000 0.0000 0.0000  2 O 1.78
Ti 0.5000 0.5000 0.5000  8 P 2.96



No. 2
This record from Alexandria via LeMat-Bulk describes a relaxed structure of TiGaPO2. The functional is GGA-PBEsol.

Properties
Space group: P4/mmm
Energy relative to the elements, uncorrected: -98 kJ/mol of atoms
DOS(E_F): 2.34 states/eV per cell
Uncorrected energy: -6.609 eV/atom

a b c (Å): 3.6588 3.6588 6.3794
angles (deg): 90.00 90.00 90.00
Last column: nearest neighbours and their distance in Å.
Positions (direct):
P 0.5000 0.5000 0.5000  4 Ga 2.59
O 0.0000 0.5000 0.0000  2 Ti 1.83
O 0.5000 0.0000 0.0000  2 Ti 1.83
Ga 0.0000 0.0000 0.5000  4 P 2.59
Ti 0.0000 0.0000 0.0000  4 O 1.83



No. 3
This record from Alexandria via LeMat-Bulk describes a relaxed structure of TlGaPO2. The functional is GGA-PBEsol.

Properties
Space group: P4/mmm
Energy relative to the elements, uncorrected: -32 kJ/mol of atoms
DOS(E_F): 3.79 states/eV per cell
Uncorrected energy: -4.780 eV/atom

a b c (Å): 3.8044 3.8044 5.1792
angles (deg): 90.00 90.00 90.00
Last column: nearest neighbours and their distance in Å.
Positions (direct):
P 0.0000 0.0000 0.5000  2 Ga 2.59, 4 Tl 2.69
Tl 0.5000 0.5000 0.5000  4 P 2.69
O 0.0000 0.5000 0.0000  2 Ga 1.90
O 0.5000 0.0000 0.0000  2 Ga 1.90
Ga 0.0000 0.0000 0.0000  4 O 1.90



No. 4
This record from Alexandria via LeMat-Bulk describes a relaxed structure of Zr2GaP3O12. The functional is GGA-PBEsol.

Properties
Space group: R-3c
Energy relative to the elements, uncorrected: -251 kJ/mol of atoms
DOS(E_F): 0.00 states/eV per cell
Uncorrected energy: -8.257 eV/atom

a b c (Å): 8.8177 8.8177 9.3752
angles (deg): 61.95 61.95 60.00
Last column: nearest neighbours and their distance in Å.
Positions (direct):
Zr 0.6478 0.6478 0.0567  6 O 2.05-2.09
Zr 0.1478 0.1478 0.5567  6 O 2.05-2.09
Zr 0.3522 0.3522 0.9433  6 O 2.05-2.09
Zr 0.8522 0.8522 0.4433  6 O 2.05-2.09
Ga 0.5000 0.5000 0.5000  6 O 2.74
Ga 0.0000 0.0000 0.0000  6 O 2.74
P 0.0378 0.4622 0.7500  4 O 1.54
P 0.7500 0.0378 0.7500  4 O 1.54
P 0.4622 0.7500 0.7500  4 O 1.54
P 0.2500 0.9622 0.2500  4 O 1.54
P 0.5378 0.2500 0.2500  4 O 1.54
P 0.9622 0.5378 0.2500  4 O 1.54
O 0.8705 0.4919 0.9081  1 P 1.54
O 0.7294 0.8705 0.9081  1 P 1.54
O 0.4919 0.7294 0.9081  1 P 1.54
O 0.2294 0.9919 0.4081  1 P 1.54
O 0.3705 0.2294 0.4081  1 P 1.54
O 0.9919 0.3705 0.4081  1 P 1.54
O 0.1295 0.5081 0.0919  1 P 1.54
O 0.2706 0.1295 0.0919  1 P 1.54
O 0.5081 0.2706 0.0919  1 P 1.54
O 0.7706 0.0081 0.5919  1 P 1.54
O 0.6295 0.7706 0.5919  1 P 1.54
O 0.0081 0.6295 0.5919  1 P 1.54
O 0.7898 0.5672 0.2213  1 P 1.54
O 0.4218 0.7898 0.2213  1 P 1.54
O 0.5672 0.4218 0.2213  1 P 1.54
O 0.9218 0.0672 0.7213  1 P 1.54
O 0.2898 0.9218 0.7213  1 P 1.54
O 0.0672 0.2898 0.7213  1 P 1.54
O 0.2102 0.4328 0.7787  1 P 1.54
O 0.5782 0.2102 0.7787  1 P 1.54
O 0.4328 0.5782 0.7787  1 P 1.54
O 0.0782 0.9328 0.2787  1 P 1.54
O 0.7102 0.0782 0.2787  1 P 1.54
O 0.9328 0.7102 0.2787  1 P 1.54



No. 5
This record from Alexandria via LeMat-Bulk describes a relaxed structure of Ga2PbO4. The functional is GGA-PBEsol.

Properties
Space group: Ama2
Energy relative to the elements, uncorrected: -161 kJ/mol of atoms
DOS(E_F): 0.00 states/eV per cell
Uncorrected energy: -6.194 eV/atom

a b c (Å): 5.2523 5.3651 8.5598
angles (deg): 90.00 90.00 119.31
Last column: nearest neighbours and their distance in Å.
Positions (direct):
Ga 0.3636 0.6535 0.4478  4 O 1.83-1.86
Ga 0.7102 0.3465 0.5522  4 O 1.83-1.86
Ga 0.3636 0.6535 0.0522  4 O 1.83-1.86
Ga 0.7102 0.3465 0.9478  4 O 1.83-1.86
Pb 0.9722 0.9497 0.2500  3 O 2.29-2.40
Pb 0.0225 0.0503 0.7500  3 O 2.29-2.40
O 0.4871 0.6133 0.2500  2 Ga 1.86
O 0.8738 0.3867 0.7500  2 Ga 1.86
O 0.6802 0.0000 0.5000  2 Ga 1.84
O 0.6802 0.0000 0.0000  2 Ga 1.84
O 0.0070 0.6376 0.4392  2 Ga 1.83-1.85
O 0.3694 0.3624 0.5608  2 Ga 1.83-1.85
O 0.3694 0.3624 0.9392  2 Ga 1.83-1.85
O 0.0070 0.6376 0.0608  2 Ga 1.83-1.85



No. 6
This record from Alexandria via LeMat-Bulk describes a relaxed structure of GaPbO2. The functional is GGA-PBEsol.

Properties
Space group: R-3m
Energy relative to the elements, uncorrected: -130 kJ/mol of atoms
DOS(E_F): 0.45 states/eV per cell
Uncorrected energy: -5.804 eV/atom

a b c (Å): 3.0992 3.0992 7.0278
angles (deg): 77.26 77.26 60.00
Last column: nearest neighbours and their distance in Å.
Positions (direct):
Pb 0.0000 0.0000 0.0000  2 O 2.41
O 0.8816 0.8816 0.3551  3 Ga 2.04
O 0.1184 0.1184 0.6449  3 Ga 2.04
Ga 0.5000 0.5000 0.5000  6 O 2.04



No. 7
This record from Alexandria via LeMat-Bulk describes a relaxed structure of GaPdO2. The functional is GGA-PBEsol.

Properties
Space group: R-3m
Energy relative to the elements, uncorrected: -123 kJ/mol of atoms
DOS(E_F): 0.56 states/eV per cell
Uncorrected energy: -6.221 eV/atom

a b c (Å): 2.9270 2.9270 6.2836
angles (deg): 76.53 76.53 60.00
Last column: nearest neighbours and their distance in Å.
Positions (direct):
Pd 0.0000 0.0000 0.0000  2 O 2.00
Ga 0.5000 0.5000 0.5000  6 O 1.97
O 0.8896 0.8896 0.3311  3 Ga 1.97, 1 Pd 2.00
O 0.1104 0.1104 0.6689  3 Ga 1.97, 1 Pd 2.00



No. 8
This record from Alexandria via LeMat-Bulk describes a relaxed structure of GaSiPd2O. The functional is GGA-PBEsol.

Properties
Space group: P4/mmm
Energy relative to the elements, uncorrected: 61 kJ/mol of atoms
DOS(E_F): 1.28 states/eV per cell
Uncorrected energy: -4.618 eV/atom

a b c (Å): 4.4062 4.4062 4.6894
angles (deg): 90.00 90.00 90.00
Last column: nearest neighbours and their distance in Å.
Positions (direct):
O 0.5000 0.5000 0.5000  4 Ga 3.12, 8 Pd 3.22
Si 0.0000 0.0000 0.0000  4 Pd 2.20, 2 Ga 2.34
Ga 0.0000 0.0000 0.5000  2 Si 2.34
Pd 0.0000 0.5000 0.0000  2 Si 2.20
Pd 0.5000 0.0000 0.0000  2 Si 2.20